First-principles (PBE) data for an optimized crystal structure of AgOsW2, as listed in Alexandria via LeMat-Bulk.

Computed properties:
E_form: 0.56 eV per atom
electronic total energy: -9.438 eV per atom
theoretical density: 17.0 g cm⁻³
SG: No. 99
energy relative to the lowest polymorph listed for this composition: 198 meV/atom

a = 3.2614 Å, b = 3.2614 Å, c = 6.1157 Å
α = 90.00°, β = 90.00°, γ = 90.00°
Atoms (fractional coordinates):
Os 0.5000 0.5000 0.7756
Ag 0.0000 0.0000 0.5020
W 0.0000 0.0000 0.9908
W 0.5000 0.5000 0.2316